#a
Cu2S3O12: optimized geometry, GGA-PBEsol.

```
data_Cu2S3O12
_chemical_formula_sum 'Cu8 S12 O48'
_cell_length_a 8.107
_cell_length_b 8.499
_cell_length_c 13.872
_cell_angle_alpha 90.00
_cell_angle_beta 124.54
_cell_angle_gamma 90.00
_symmetry_space_group_name_H-M 'P 1 21/c 1'
_symmetry_Int_Tables_number 14
_symmetry_space_group_name_Hall '-P 2ybc'
loop_
_atom_site_label
_atom_site_fract_x
_atom_site_fract_y
_atom_site_fract_z
Cu1 0.134 0.031 0.387
Cu2 0.364 0.038 0.113
S1 0.034 0.619 0.646
S2 0.259 0.122 0.653
S3 0.454 0.748 0.995
O1 0.033 0.723 0.192
O2 0.129 0.507 0.745
O3 0.133 0.071 0.694
O4 0.149 0.099 0.525
O5 0.158 0.620 0.599
O6 0.175 0.069 0.942
O7 0.254 0.680 0.950
O8 0.289 0.206 0.177
O9 0.394 0.125 0.440
O10 0.447 0.030 0.715
O11 0.449 0.692 0.393
O12 0.496 0.627 0.580
```

Properties
For the density of states at the Fermi level, the calculation gives 0.19 states/eV/atom. The calculated volume is 196.8 Å³/f.u.

=====

#b
Cu2S3O12: optimized geometry, GGA-PBEsol.

```
data_Cu2S3O12
_chemical_formula_sum 'Cu12 S18 O72'
_cell_length_a 8.0539
_cell_length_b 8.0539
_cell_length_c 22.1873
_cell_angle_alpha 90.00
_cell_angle_beta 90.00
_cell_angle_gamma 120.00
_symmetry_space_group_name_H-M 'R -3'
_symmetry_Int_Tables_number 148
_symmetry_space_group_name_Hall '-R 3'
loop_
_atom_site_label
_atom_site_fract_x
_atom_site_fract_y
_atom_site_fract_z
Cu1 0.0000 0.0000 0.1453
Cu2 0.0000 0.0000 0.3448
S1 0.0003 0.2922 0.2504
O1 0.0116 0.2160 0.1909
O2 0.0510 0.8365 0.0884
O3 0.0938 0.8638 0.3988
O4 0.0965 0.8629 0.7039
```

Properties
For the density of states at the Fermi level, the calculation gives 0.22 states/eV/atom. The calculated volume is 207.7 Å³/f.u.

=====

Energies, relative to the best one, in meV/atom: #a 12; #b 0.

=====

#a
V2Cu2O7: optimized geometry, GGA-PBEsol.

```
data_V2Cu2O7
_chemical_formula_sum 'V8 Cu8 O28'
_cell_length_a 7.722
_cell_length_b 7.892
_cell_length_c 10.087
_cell_angle_alpha 90.00
_cell_angle_beta 109.43
_cell_angle_gamma 90.00
_symmetry_space_group_name_H-M 'C 1 2/c 1'
_symmetry_Int_Tables_number 15
_symmetry_space_group_name_Hall '-C 2yc'
loop_
_atom_site_label
_atom_site_fract_x
_atom_site_fract_y
_atom_site_fract_z
V1 0.220 0.219 0.286
Cu1 0.188 0.428 0.985
O1 0.000 0.127 0.250
O2 0.123 0.411 0.602
O3 0.221 0.406 0.362
O4 0.237 0.247 0.873
```

Properties
For the density of states at the Fermi level, the calculation gives 0.25 states/eV/atom. The calculated volume is 144.9 Å³/f.u.

=====

#b
V2Cu2O7: optimized geometry, GGA-PBEsol.

```
data_V2Cu2O7
_chemical_formula_sum 'V16 Cu16 O56'
_cell_length_a 8.684
_cell_length_b 20.335
_cell_length_c 6.335
_cell_angle_alpha 90.00
_cell_angle_beta 90.00
_cell_angle_gamma 90.00
_symmetry_space_group_name_H-M 'F d d 2'
_symmetry_Int_Tables_number 43
_symmetry_space_group_name_Hall 'F 2 -2d'
loop_
_atom_site_label
_atom_site_fract_x
_atom_site_fract_y
_atom_site_fract_z
V1 0.097 0.300 0.000
Cu1 0.119 0.086 0.271
O1 0.000 0.000 0.665
O2 0.052 0.250 0.541
O3 0.060 0.358 0.799
O4 0.097 0.089 0.974
```

Properties
For the density of states at the Fermi level, the calculation gives 0.20 states/eV/atom. The calculated volume is 139.8 Å³/f.u.

=====

Energies, relative to the best one, in meV/atom: #a 0; #b 5.